## MnOF (PBEsol)

Data for a geometry-optimized MnOF structure.

Lattice parameters (Å, degrees): 3.7322 4.3020 5.4287 113.34 110.11 90.00
Atoms (fractional coordinates):
O (0.1630, 0.4130, 0.3260)
O (0.8370, 0.5870, 0.6740)
Mn (0.3664, 0.6164, 0.7328)
Mn (0.6336, 0.3836, 0.2672)
F (0.5752, 0.8252, 0.1504)
F (0.4248, 0.1748, 0.8496)

Results
E_form (uncorrected) (eV/atom): -1.89
Total moment (μB/cell): 8.000


## GdC6N9 (PBEsol)

Data for a geometry-optimized GdC6N9 structure.

Lattice parameters (Å, degrees): 6.8995 6.8995 10.1823 90.00 90.00 111.96
Atoms (fractional coordinates):
C (0.7069, 0.9991, 0.5526)
C (0.2931, 0.0009, 0.4474)
C (0.0009, 0.2931, 0.9474)
C (0.0009, 0.2931, 0.5526)
C (0.7069, 0.9991, 0.9474)
C (0.9991, 0.7069, 0.4474)
C (0.7300, 0.5623, 0.7500)
C (0.2931, 0.0009, 0.0526)
C (0.2700, 0.4377, 0.2500)
C (0.9991, 0.7069, 0.0526)
C (0.5623, 0.7300, 0.2500)
C (0.4377, 0.2700, 0.7500)
N (0.1555, 0.8445, 0.5081)
N (0.9124, 0.6522, 0.7500)
N (0.6522, 0.9124, 0.2500)
N (0.0876, 0.3478, 0.2500)
N (0.5735, 0.8558, 0.8994)
N (0.4721, 0.5279, 0.2500)
N (0.5279, 0.4721, 0.7500)
N (0.8445, 0.1555, 0.4919)
N (0.4265, 0.1442, 0.1006)
N (0.4265, 0.1442, 0.3994)
N (0.1442, 0.4265, 0.6006)
N (0.1442, 0.4265, 0.8994)
N (0.8445, 0.1555, 0.0081)
N (0.1555, 0.8445, 0.9919)
N (0.8558, 0.5735, 0.3994)
N (0.5735, 0.8558, 0.6006)
N (0.8558, 0.5735, 0.1006)
N (0.3478, 0.0876, 0.7500)
Gd (0.7174, 0.2826, 0.2500)
Gd (0.2826, 0.7174, 0.7500)

Results
E_form (uncorrected) (eV/atom): -0.03
Total moment (μB/cell): 13.956


## Li2TlIn (PBEsol)

Data for a geometry-optimized Li2TlIn structure.

Lattice parameters (Å, degrees): 3.8456 4.5706 5.5209 114.45 110.38 90.00
Atoms (fractional coordinates):
Tl (0.4954, 0.4954, 0.9908)
Li (0.0022, 0.0022, 0.0044)
Li (0.7494, 0.2494, 0.4987)
In (0.2530, 0.7530, 0.5060)

Results
E_form (eV per atom): -0.233
Total moment (μB/cell): 0.000


## Hg2MoCl (PBEsol)

Data for a geometry-optimized Hg2MoCl structure.

Lattice parameters (Å, degrees): 4.8004 4.8004 4.8004 60.00 60.00 60.00
Atoms (fractional coordinates):
Mo (0.2500, 0.2500, 0.2500)
Hg (0.7500, 0.7500, 0.7500)
Hg (0.0000, 0.0000, 0.0000)
Cl (0.5000, 0.5000, 0.5000)

Results
Polymorph energy (0 for the lowest one) (kJ/mol of formula units): 148
E_form (uncorrected) (eV/atom): 0.72
Total moment (μB/cell): 2.957